DFT (PBE+U) results for a relaxed AcFeS2O8 crystal. Values from VASP.

Computed properties:
Energy = -6.479 eV/atom

Structure (Quantum ESPRESSO input):
```
&SYSTEM
  ibrav = 0, nat = 12, ntyp = 4
/
ATOMIC_SPECIES
O 16.00 O.upf
Ac 227.00 Ac.upf
Fe 55.84 Fe.upf
S 32.06 S.upf
ATOMIC_POSITIONS angstrom
O -1.2309 3.7498 5.8232
O 0.0000 3.0392 3.8459
O 0.0000 1.6178 5.8232
O 1.2309 3.7498 5.8232
O 2.6320 2.9409 1.6006
O 3.8629 0.8089 1.6006
O 2.6320 1.5196 3.5778
O 1.4011 0.8089 1.6006
Ac 0.0000 0.0000 3.7119
Fe 0.0000 0.0000 0.0000
S 2.6320 1.5196 2.0594
S 0.0000 3.0392 5.3644
CELL_PARAMETERS angstrom
5.2640 0.0000 0.0000
-2.6320 4.5588 0.0000
0.0000 0.0000 7.4238
```